(1)
Density functional theory data (PBE) for Be3IrPd after structural relaxation.

a b c (Å): 4.1494 4.1494 4.1494
angles (deg): 90.00 90.00 90.00
With the nearest neighbours (Å) after each atom.
Sites, in units of the cell vectors:
Be  0.0000  0.0000  0.5000  2 Ir 2.07
Be  0.0000  0.5000  0.0000  2 Ir 2.07
Be  0.5000  0.0000  0.0000  2 Ir 2.07
Ir  0.0000  0.0000  0.0000  6 Be 2.07
Pd  0.5000  0.5000  0.5000  12 Be 2.93

Computed properties:
distance to the lowest polymorph of the same formula: 0.000 eV/atom
energy of formation from the pure elements: 0.282 eV per atom

(2)
Density functional theory data (PBE) for Tb4CeY3Se8 after structural relaxation.

a b c (Å): 8.2074 8.2074 8.2074
angles (deg): 60.06 60.06 60.06
With the nearest neighbours (Å) after each atom.
Sites, in units of the cell vectors:
Tb  0.0000  0.0000  0.0000  6 Se 2.87
Tb  0.0000  0.5000  0.5000  6 Se 2.91
Tb  0.5000  0.0000  0.5000  6 Se 2.91
Tb  0.5000  0.5000  0.0000  6 Se 2.91
Ce  0.5000  0.5000  0.5000  6 Se 2.93
Y  0.0000  0.0000  0.5000  6 Se 2.90
Y  0.0000  0.5000  0.0000  6 Se 2.90
Y  0.5000  0.0000  0.0000  6 Se 2.90
Se  0.2474  0.2474  0.7531  3 Tb 2.87-2.91, 2 Y 2.90, 1 Ce 2.93
Se  0.2474  0.7531  0.2474  3 Tb 2.87-2.91, 2 Y 2.90, 1 Ce 2.93
Se  0.2469  0.7526  0.7526  3 Tb 2.87-2.91, 2 Y 2.90, 1 Ce 2.93
Se  0.2497  0.2497  0.2497  3 Y 2.90, 3 Tb 2.91
Se  0.7503  0.7503  0.7503  3 Y 2.90, 3 Tb 2.91
Se  0.7531  0.2474  0.2474  3 Tb 2.87-2.91, 2 Y 2.90, 1 Ce 2.93
Se  0.7526  0.2469  0.7526  3 Tb 2.87-2.91, 2 Y 2.90, 1 Ce 2.93
Se  0.7526  0.7526  0.2469  3 Tb 2.87-2.91, 2 Y 2.90, 1 Ce 2.93

Computed properties:
E_form (uncorrected): -1776 meV/atom

(3)
Density functional theory data (PBE) for Ir2Pt2C after structural relaxation.

a b c (Å): 7.0183 7.0183 7.0183
angles (deg): 150.79 150.79 41.79
With the nearest neighbours (Å) after each atom.
Sites, in units of the cell vectors:
Ir  0.2500  0.7500  0.5000  4 Ir 2.50, 4 Pt 2.68
Ir  0.7500  0.2500  0.5000  4 Ir 2.50, 4 Pt 2.68
Pt  0.0963  0.0963  0.0000  1 Pt 2.53, 4 Ir 2.68, 4 C 2.80
Pt  0.9037  0.9037  0.0000  1 Pt 2.53, 4 Ir 2.68, 4 C 2.80
C  0.5000  0.5000  0.0000  8 Pt 2.80

Computed properties:
distance to the lowest polymorph of the same formula: 0.733 eV/atom
energy of formation from the pure elements: 1.599 eV per atom

(4)
Density functional theory data (PBE) for YEr4Tm3 after structural relaxation.

a b c (Å): 11.0991 7.1784 6.2053
angles (deg): 90.00 90.00 90.00
With the nearest neighbours (Å) after each atom.
Sites, in units of the cell vectors:
Y  0.0000  0.1250  0.0000  6 Tm 3.46-3.58, 6 Er 3.48-3.59
Y  0.5000  0.8750  0.5000  6 Tm 3.46-3.58, 6 Er 3.48-3.59
Er  0.0000  0.3751  0.5006  6 Er 3.45-3.59, 4 Tm 3.46-3.59, 2 Y 3.58-3.59
Er  0.0000  0.6251  0.9986  6 Er 3.45-3.59, 4 Tm 3.46-3.59, 2 Y 3.59
Er  0.2486  0.6247  0.3324  6 Er 3.45-3.58, 5 Tm 3.45-3.59, 1 Y 3.48
Er  0.2514  0.3753  0.8324  6 Er 3.45-3.58, 5 Tm 3.45-3.59, 1 Y 3.48
Er  0.5000  0.3749  0.4986  6 Er 3.45-3.59, 4 Tm 3.46-3.59, 2 Y 3.59
Er  0.5000  0.6249  0.0006  6 Er 3.45-3.59, 4 Tm 3.46-3.59, 2 Y 3.58-3.59
Er  0.7486  0.3753  0.8324  6 Er 3.45-3.58, 5 Tm 3.45-3.59, 1 Y 3.48
Er  0.7514  0.6247  0.3324  6 Er 3.45-3.58, 5 Tm 3.45-3.59, 1 Y 3.48
Tm  0.0000  0.8750  0.5001  6 Er 3.45-3.59, 4 Tm 3.46-3.47, 2 Y 3.58
Tm  0.2499  0.1253  0.3343  6 Er 3.46-3.59, 4 Tm 3.46-3.59, 2 Y 3.46
Tm  0.2501  0.8747  0.8343  6 Er 3.46-3.59, 4 Tm 3.46-3.59, 2 Y 3.46
Tm  0.5000  0.1250  0.0001  6 Er 3.45-3.59, 4 Tm 3.46-3.47, 2 Y 3.58
Tm  0.7501  0.1253  0.3343  6 Er 3.46-3.59, 4 Tm 3.46-3.59, 2 Y 3.46
Tm  0.7499  0.8747  0.8343  6 Er 3.46-3.59, 4 Tm 3.46-3.59, 2 Y 3.46

Computed properties:
distance to the lowest polymorph of the same formula: 0.000 eV/atom
energy of formation from the pure elements: -0.002 eV per atom

(5)
Density functional theory data (PBE) for Y8Ga3Te3S after structural relaxation.

a b c (Å): 8.2773 8.2773 8.6332
angles (deg): 118.73 118.73 59.90
With the nearest neighbours (Å) after each atom.
Sites, in units of the cell vectors:
Y  0.2407  0.2407  0.7240  1 S 2.87, 2 Ga 2.88, 2 Te 3.10
Y  0.2411  0.7419  0.7241  1 S 2.88, 2 Ga 2.88, 2 Te 3.10
Y  0.2559  0.2559  0.2676  3 Ga 2.91, 3 Te 3.07
Y  0.2581  0.7589  0.2759  1 S 2.88, 2 Ga 2.88, 2 Te 3.10
Y  0.7419  0.2411  0.7241  1 S 2.88, 2 Ga 2.88, 2 Te 3.10
Y  0.7441  0.7441  0.7324  3 Ga 2.91, 3 Te 3.07
Y  0.7589  0.2581  0.2759  1 S 2.88, 2 Ga 2.88, 2 Te 3.10
Y  0.7593  0.7593  0.2760  1 S 2.87, 2 Ga 2.88, 2 Te 3.10
Ga  0.0000  0.5000  0.5000  6 Y 2.88-2.91
Ga  0.5000  0.0000  0.5000  6 Y 2.88-2.91
Ga  0.5000  0.5000  0.5000  6 Y 2.88-2.91
Te  0.0000  0.0000  0.0000  6 Y 3.07-3.10
Te  0.0000  0.5000  0.0000  6 Y 3.07-3.10
Te  0.5000  0.0000  0.0000  6 Y 3.07-3.10
S  0.0000  0.0000  0.5000  6 Y 2.87-2.88

Computed properties:
E_form (uncorrected): -989 meV/atom

(6)
Density functional theory data (PBE) for BaDy2AgS4 after structural relaxation.

a b c (Å): 7.0647 7.0647 13.8998
angles (deg): 90.00 90.00 146.30
With the nearest neighbours (Å) after each atom.
Sites, in units of the cell vectors:
Ba  0.1252  0.8748  0.7500  6 S 3.10-3.21
Ba  0.8748  0.1252  0.2500  6 S 3.10-3.21
Dy  0.3754  0.6246  0.5576  6 S 2.73-2.89
Dy  0.3754  0.6246  0.9424  6 S 2.73-2.89
Dy  0.6246  0.3754  0.0576  6 S 2.73-2.89
Dy  0.6246  0.3754  0.4424  6 S 2.73-2.89
Ag  0.1495  0.8505  0.2500  4 S 2.47-2.53
Ag  0.8505  0.1495  0.7500  4 S 2.47-2.53
S  0.0000  0.0000  0.0000  4 Dy 2.77
S  0.0000  0.0000  0.5000  4 Dy 2.77
S  0.2659  0.7341  0.1074  1 Ag 2.53, 1 Dy 2.73
S  0.2659  0.7341  0.3926  1 Ag 2.53, 1 Dy 2.73
S  0.4529  0.5471  0.7500  2 Ag 2.47
S  0.5471  0.4529  0.2500  2 Ag 2.47
S  0.7341  0.2659  0.6074  1 Ag 2.53, 1 Dy 2.73
S  0.7341  0.2659  0.8926  1 Ag 2.53, 1 Dy 2.73

Computed properties:
E_form (uncorrected): -1676 meV/atom

(7)
Density functional theory data (PBE) for Li3BN2 after structural relaxation.

a b c (Å): 5.1467 7.0957 6.7825
angles (deg): 90.00 112.65 90.00
With the nearest neighbours (Å) after each atom.
Sites, in units of the cell vectors:
Li  0.2413  0.2082  0.3135  4 N 2.09-2.19
Li  0.2413  0.2918  0.8135  4 N 2.09-2.19
Li  0.2505  0.5129  0.1247  3 N 2.04-2.18
Li  0.2507  0.5183  0.5023  2 N 2.00-2.06
Li  0.2507  0.9817  0.0023  2 N 2.00-2.06
Li  0.2505  0.9871  0.6247  3 N 2.04-2.18
Li  0.7495  0.0129  0.3753  3 N 2.04-2.18
Li  0.7493  0.0183  0.9977  2 N 2.00-2.06
Li  0.7493  0.4817  0.4977  2 N 2.00-2.06
Li  0.7495  0.4871  0.8753  3 N 2.04-2.18
Li  0.7587  0.7082  0.1865  4 N 2.09-2.19
Li  0.7587  0.7918  0.6865  4 N 2.09-2.19
B  0.2851  0.6797  0.8238  2 N 1.34-1.35
B  0.2851  0.8203  0.3238  2 N 1.34-1.35
B  0.7149  0.1797  0.6762  2 N 1.34-1.35
B  0.7149  0.3203  0.1762  2 N 1.34-1.35
N  0.0651  0.5618  0.7803  1 B 1.35
N  0.0651  0.9382  0.2803  1 B 1.35
N  0.4935  0.2046  0.1332  1 B 1.34
N  0.4935  0.2954  0.6332  1 B 1.34
N  0.5065  0.7046  0.3668  1 B 1.34
N  0.5065  0.7954  0.8668  1 B 1.34
N  0.9349  0.0618  0.7197  1 B 1.35
N  0.9349  0.4382  0.2197  1 B 1.35

Computed properties:
distance to the lowest polymorph of the same formula: 0.000 eV/atom
E_form (uncorrected): -842 meV/atom

(8)
Density functional theory data (PBE) for AlVTe2 after structural relaxation.

a b c (Å): 9.6527 9.6527 9.6527
angles (deg): 20.83 20.83 20.83
With the nearest neighbours (Å) after each atom.
Sites, in units of the cell vectors:
Al  0.0000  0.0000  0.0000  2 Te 2.97
V  0.5000  0.5000  0.5000  6 Te 2.67
Te  0.1048  0.1048  0.1048  3 V 2.67, 1 Al 2.97
Te  0.8952  0.8952  0.8952  3 V 2.67, 1 Al 2.97

Computed properties:
E_form (uncorrected): 14 meV/atom

(9)
Density functional theory data (PBE) for CoAg2Au after structural relaxation.

a b c (Å): 4.8997 4.8997 5.0472
angles (deg): 99.87 99.87 33.26
With the nearest neighbours (Å) after each atom.
Sites, in units of the cell vectors:
Co  0.0000  0.0000  0.0000  3 Au 2.72-2.86, 7 Ag 2.80-2.94, 2 Co 2.80
Ag  0.2563  0.2563  0.7400  5 Ag 2.78-2.88, 3 Co 2.80-2.94, 4 Au 2.83-2.96
Ag  0.4985  0.4985  0.4946  5 Ag 2.78-2.88, 3 Au 2.86-2.93, 4 Co 2.87-2.91
Au  0.7399  0.7399  0.2200  3 Co 2.72-2.86, 2 Au 2.80, 7 Ag 2.83-2.96

Computed properties:
distance to the lowest polymorph of the same formula: 0.064 eV/atom
energy of formation from the pure elements: 0.264 eV per atom

(10)
Density functional theory data (PBE) for BeTlNO2 after structural relaxation.

a b c (Å): 3.8297 3.8297 3.4733
angles (deg): 90.00 90.00 90.00
With the nearest neighbours (Å) after each atom.
Sites, in units of the cell vectors:
Be  0.0000  0.0000  0.0000  2 N 1.74, 4 O 1.91
Tl  0.5000  0.5000  0.5000  8 O 2.59, 4 N 2.71
N  0.0000  0.0000  0.5000  2 Be 1.74
O  0.0000  0.5000  0.0000  2 Be 1.91
O  0.5000  0.0000  0.0000  2 Be 1.91

Computed properties:
E_form (uncorrected): 53 meV/atom

(11)
Density functional theory data (PBE) for CoTc2 after structural relaxation.

a b c (Å): 5.0569 5.0569 8.0275
angles (deg): 90.00 90.00 120.00
With the nearest neighbours (Å) after each atom.
Sites, in units of the cell vectors:
Co  0.3333  0.6667  0.0782  1 Co 2.76, 12 Tc 2.88-2.99
Co  0.3333  0.6667  0.4218  1 Co 2.76, 12 Tc 2.88-2.99
Co  0.6667  0.3333  0.5782  1 Co 2.76, 12 Tc 2.88-2.99
Co  0.6667  0.3333  0.9218  1 Co 2.76, 12 Tc 2.88-2.99
Tc  0.0000  0.0000  0.0000  6 Tc 2.53
Tc  0.0000  0.0000  0.5000  6 Tc 2.53
Tc  0.1755  0.3509  0.7500  6 Tc 2.39-2.66
Tc  0.1755  0.8245  0.7500  6 Tc 2.39-2.66
Tc  0.3509  0.1755  0.2500  6 Tc 2.39-2.66
Tc  0.6491  0.8245  0.7500  6 Tc 2.39-2.66
Tc  0.8245  0.1755  0.2500  6 Tc 2.39-2.66
Tc  0.8245  0.6491  0.2500  6 Tc 2.39-2.66

Computed properties:
distance to the lowest polymorph of the same formula: 0.521 eV/atom
energy of formation from the pure elements: 0.533 eV per atom

(12)
Density functional theory data (PBE) for Ce2PrIn2Ag2 after structural relaxation.

a b c (Å): 9.5266 9.5266 9.5266
angles (deg): 28.98 28.98 28.98
With the nearest neighbours (Å) after each atom.
Sites, in units of the cell vectors:
Ce  0.1428  0.1428  0.1428  3 Ce 3.05, 3 Ag 3.13, 4 In 3.32-3.41
Ce  0.8572  0.8572  0.8572  3 Ce 3.05, 3 Ag 3.13, 4 In 3.32-3.41
Pr  0.0000  0.0000  0.0000  6 In 3.34, 6 Ag 3.66
In  0.2643  0.2643  0.2643  3 Ag 2.80
In  0.7357  0.7357  0.7357  3 Ag 2.80
Ag  0.4213  0.4213  0.4213  3 In 2.80, 3 Ce 3.13
Ag  0.5787  0.5787  0.5787  3 In 2.80, 3 Ce 3.13

Computed properties:
energy of formation from the pure elements: -0.261 eV per atom

- Number 10 is which compound?
  BeTlNO2